(1)
A plane-wave DFT calculation with PBEsol was carried out for crystalline Hg3Pb at its relaxed geometry.

a = 3.4417 Å, b = 5.3356 Å, c = 5.7290 Å
α = 92.84°, β = 107.48°, γ = 90.00°
Closest atoms and distances in Å follow each position.
Fractional positions:
Pb: 0.0000 0.0000 0.0000  10 Hg 3.13-3.43, 2 Pb 3.44
Hg: 0.5000 0.5000 0.0000  2 Hg 3.07, 4 Pb 3.17
Hg: 0.7481 0.2556 0.4962  5 Hg 3.07-3.23, 3 Pb 3.13-3.43
Hg: 0.2519 0.7444 0.5038  5 Hg 3.07-3.23, 3 Pb 3.13-3.43

The value obtained for the mass density is 13.40 g cm⁻³. The formation energy comes out at 0.019 eV/atom.

***

(2)
A plane-wave DFT calculation with PBEsol was carried out for crystalline HgPb3 at its relaxed geometry.

a = 3.5216 Å, b = 4.6002 Å, c = 6.8727 Å
α = 90.00°, β = 90.00°, γ = 90.00°
Closest atoms and distances in Å follow each position.
Fractional positions:
Pb: 0.5000 0.5000 0.7622  8 Pb 3.27-3.60, 4 Hg 3.33
Pb: 0.0000 0.0000 0.5000  10 Pb 3.41-3.52, 2 Hg 3.44
Pb: 0.5000 0.5000 0.2378  8 Pb 3.27-3.60, 4 Hg 3.33
Hg: 0.0000 0.0000 0.0000  10 Pb 3.33-3.44, 2 Hg 3.52

The value obtained for the mass density is 12.26 g cm⁻³. The formation energy comes out at 0.001 eV/atom.